Material: Ho5Pa3As12
Method: DFT, PBE-GGA
State: optimized geometry

Geometry as CIF:
```
data_Ho5Pa3As12
_chemical_formula_sum 'Ho40 Pa24 As96'
_cell_length_a 16.5411
_cell_length_b 16.5411
_cell_length_c 16.5411
_cell_angle_alpha 90.00
_cell_angle_beta 90.00
_cell_angle_gamma 90.00
_symmetry_space_group_name_H-M 'I a -3 d'
_symmetry_Int_Tables_number 230
_symmetry_space_group_name_Hall '-I 4bd 2c 3'
loop_
_atom_site_label
_atom_site_fract_x
_atom_site_fract_y
_atom_site_fract_z
Ho1 0.0000 0.0000 0.0000
Ho2 0.0000 0.2500 0.3750
Pa1 0.0000 0.2500 0.1250
As1 0.0148 0.0813 0.6579
```

Summary:
Calculated volume: 28.3 Å³ per atom
Calculated formation energy: -12.49 eV per formula unit
Total magnetic moment: 0.0 μB per cell